No. 1
VASP calculation (PBE) on a relaxed Ac4RhAuBr2 crystal.

Results
density	7.96	g cm⁻³
M_tot	0.00	μB per cell
formation energy from raw total energies	-106.5	kJ per mole of atoms
DFT total energy	-4.90	eV per atom

a b c (Å): 7.780 4.465 8.622
angles (deg): 90.00 107.74 90.00
Fractional positions:
Ac: 0.223 0.000 0.197
Ac: 0.251 0.500 0.802
Ac: 0.749 0.500 0.198
Ac: 0.777 0.000 0.803
Rh: 0.000 0.500 0.000
Au: 0.500 0.000 0.000
Br: 0.000 0.000 0.500
Br: 0.500 0.500 0.500

=====

No. 2
VASP calculation (PBE) on a relaxed Rb2Ta2Pb crystal.

Results
density	6.60	g cm⁻³
calculated formation energy	7.09	eV per formula unit
M_tot	0.00	μB per cell
DFT total energy	-4.45	eV per atom

a b c (Å): 10.945 10.945 3.107
angles (deg): 90.00 90.00 90.00
Fractional positions:
Rb: 0.211 0.289 0.000
Rb: 0.289 0.789 0.000
Rb: 0.711 0.211 0.000
Rb: 0.789 0.711 0.000
Ta: 0.075 0.575 0.500
Ta: 0.425 0.075 0.500
Ta: 0.575 0.925 0.500
Ta: 0.925 0.425 0.500
Pb: 0.000 0.000 0.500
Pb: 0.500 0.500 0.500

=====

No. 3
VASP calculation (PBE) on a relaxed CaTa2HgAs crystal.

Results
density	7.82	g cm⁻³
calculated formation energy	7.87	eV per formula unit
M_tot	2.85	μB per cell
DFT total energy	-4.56	eV per atom

a b c (Å): 5.141 5.141 5.444
angles (deg): 90.00 90.00 90.00
Fractional positions:
Ca: 0.000 0.000 0.000
Ta: 0.000 0.500 0.500
Ta: 0.500 0.000 0.500
Hg: 0.500 0.500 0.500
As: 0.500 0.500 0.000

=====

No. 4
VASP calculation (PBE) on a relaxed SmPbBr5 crystal.

Results
density	4.90	g cm⁻³
M_tot	0.00	μB per cell
formation energy from raw total energies	-138.8	kJ per mole of atoms
DFT total energy	-3.84	eV per atom

a b c (Å): 8.469 4.355 13.945
angles (deg): 90.00 93.35 90.00
Fractional positions:
Sm: 0.085 0.250 0.149
Sm: 0.915 0.750 0.851
Pb: 0.409 0.750 0.361
Pb: 0.591 0.250 0.639
Br: 0.113 0.250 0.795
Br: 0.142 0.250 0.360
Br: 0.178 0.750 0.015
Br: 0.353 0.750 0.572
Br: 0.421 0.250 0.179
Br: 0.579 0.750 0.821
Br: 0.647 0.250 0.428
Br: 0.822 0.250 0.985
Br: 0.858 0.750 0.640
Br: 0.887 0.750 0.205